Here is LaZrAg2 after structural relaxation from Alexandria. Energies are from PBE.

```
4
Lattice="5.824 0.001 0.000 2.560 5.232 0.000 -4.192 -2.616 3.083" Properties=species:S:1:pos:R:3 pbc="T T T"
Zr 2.912 0.000 1.542
Ag 1.280 2.616 1.542
Ag 0.000 0.000 0.000
La 4.192 2.616 0.000
```

## Properties
The value obtained for the formation energy is 7.8 kJ/mol of atoms. The excess energy over the best structure of this formula in the dataset is 0.155 eV/atom.